## TaMnCl4 (PBE)

Data for a geometry-optimized TaMnCl4 structure.

POSCAR file:
```
TaMnCl4
1.0
0.000 4.009 4.009
4.009 0.000 4.009
4.009 4.009 0.000
Ta Mn Cl
1 1 4
direct
0.000 0.000 0.000 Ta
0.250 0.250 0.250 Mn
0.123 0.626 0.626 Cl
0.626 0.123 0.626 Cl
0.626 0.626 0.123 Cl
0.626 0.626 0.626 Cl
```

Values from the calculation:
- total DFT energy (no corrections) (eV per atom) = -3.63
- energy relative to the elements, uncorrected (meV per atom) = 1109
- spin magnetization (μB/cell) = 3.37
- SG = F-43m, No. 216
- V (Å³ per cell) = 128.8